SmHoSb2 | PBE | optimized geometry

Results
Crystal system   hexagonal
E_form (uncorrected)   -1.068 eV/atom
Polymorph energy (0 for the lowest one)   0.30 eV/f.u.

a b c (Å): 4.4122 4.4122 14.5409
angles (deg): 90.00 90.00 120.00
Positions (direct):
Ho 0.6667 0.3333 0.2500
Ho 0.3333 0.6667 0.7500
Sb 0.3333 0.6667 0.3741
Sb 0.6667 0.3333 0.8741
Sb 0.3333 0.6667 0.1259
Sb 0.6667 0.3333 0.6259
Sm 0.0000 0.0000 0.0000
Sm 0.0000 0.0000 0.5000